1.
Here is an optimized crystal structure of CoTcOs2 from Alexandria via LeMat-Bulk. Energies are from PBE.

Calculated values
Its symmetry is No. 12. The total magnetization comes out at 0.004 μB/f.u. As for the energy relative to the lowest polymorph listed for this composition: 0.54 kcal/mol of atoms.

Unit cell a=4.600 b=4.600 c=4.666 alpha=99.34 beta=99.34 gamma=33.92
Fractional positions:
Co  0.000  0.000  0.000
Tc  0.500  0.500  0.500
Os  0.251  0.251  0.760
Os  0.749  0.749  0.240

---

2.
Here is an optimized crystal structure of Er7Al2Rh2 from Alexandria via LeMat-Bulk. Energies are from PBE.

Calculated values
Its symmetry is No. 65. The total magnetization comes out at 0.000 μB/f.u. The calculation puts the calculated total energy at -58.24 eV for the cell shown.

Unit cell a=6.651 b=6.651 c=6.944 alpha=90.00 beta=90.00 gamma=107.77
Fractional positions:
Er  0.000  0.000  0.000
Er  0.000  0.500  0.259
Er  0.000  0.500  0.741
Er  0.500  0.000  0.259
Er  0.500  0.000  0.741
Er  0.500  0.500  0.252
Er  0.500  0.500  0.748
Al  0.168  0.168  0.500
Al  0.832  0.832  0.500
Rh  0.290  0.710  0.000
Rh  0.710  0.290  0.000

---

3.
Here is an optimized crystal structure of Mo4PAu from Alexandria via LeMat-Bulk. Energies are from PBE.

Calculated values
Its symmetry is No. 216. The total magnetization comes out at 0.000 μB/f.u. The calculation puts the calculated total energy at -47.99 eV for the cell shown.

Unit cell a=5.231 b=5.231 c=5.231 alpha=60.00 beta=60.00 gamma=60.00
Fractional positions:
Mo  0.376  0.376  0.376
Mo  0.376  0.376  0.871
Mo  0.376  0.871  0.376
Mo  0.871  0.376  0.376
P  0.000  0.000  0.000
Au  0.750  0.750  0.750

---

4.
Here is an optimized crystal structure of Tl2NiMo from Alexandria via LeMat-Bulk. Energies are from PBE.

Calculated values
Its symmetry is No. 71. The total magnetization comes out at 0.463 μB/f.u. As for the energy relative to the lowest polymorph listed for this composition: 6.89 kcal/mol of atoms.

Unit cell a=5.532 b=5.532 c=5.532 alpha=147.39 beta=123.18 gamma=67.07
Fractional positions:
Tl  0.228  0.228  0.000
Tl  0.772  0.772  0.000
Ni  0.000  0.500  0.500
Mo  0.500  0.000  0.500

---

5.
Here is an optimized crystal structure of MnFe2Rh from Alexandria via LeMat-Bulk. Energies are from PBE.

Calculated values
Its symmetry is No. 47. The total magnetization comes out at 2.258 μB/f.u. The calculation puts the calculated total energy at -33.41 eV for the cell shown.

Unit cell a=2.614 b=3.677 c=5.168 alpha=90.00 beta=90.00 gamma=90.00
Fractional positions:
Mn  0.000  0.000  0.000
Fe  0.500  0.500  0.243
Fe  0.500  0.500  0.757
Rh  0.000  0.000  0.500

---

6.
Here is an optimized crystal structure of Tc2SbAu from Alexandria via LeMat-Bulk. Energies are from PBE.

Calculated values
The value obtained for the formation energy without anion corrections is 37.1 kJ per mole of atoms. Its symmetry is No. 119. The total magnetization comes out at 0.000 μB/f.u.

Unit cell a=4.996 b=4.996 c=4.996 alpha=132.17 beta=132.17 gamma=69.97
Fractional positions:
Tc  0.000  0.000  0.000
Tc  0.750  0.250  0.500
Sb  0.500  0.500  0.000
Au  0.250  0.750  0.500

---

7.
Here is an optimized crystal structure of MgRhBr3 from Alexandria via LeMat-Bulk. Energies are from PBE.

Calculated values
The value obtained for the formation energy without anion corrections is -20.9 kJ per mole of atoms. Its symmetry is No. 221. The total magnetization comes out at 0.000 μB/f.u. As for the energy relative to the lowest polymorph listed for this composition: 0.00 kcal/mol of atoms.

Unit cell a=5.084 b=5.084 c=5.084 alpha=90.00 beta=90.00 gamma=90.00
Fractional positions:
Mg  0.000  0.000  0.000
Rh  0.500  0.500  0.500
Br  0.000  0.500  0.500
Br  0.500  0.000  0.500
Br  0.500  0.500  0.000

---

8.
Here is an optimized crystal structure of Sm3Mg2Hg from Alexandria via LeMat-Bulk. Energies are from PBE.

Calculated values
Its symmetry is No. 123. The total magnetization comes out at 0.553 μB/f.u. The calculation puts the calculated total energy at -18.99 eV for the cell shown.

Unit cell a=3.847 b=3.847 c=11.363 alpha=90.00 beta=90.00 gamma=90.00
Fractional positions:
Sm  0.000  0.000  0.000
Sm  0.000  0.000  0.337
Sm  0.000  0.000  0.663
Mg  0.500  0.500  0.165
Mg  0.500  0.500  0.835
Hg  0.500  0.500  0.500

---

9.
Here is an optimized crystal structure of Nd8CuIr5 from Alexandria via LeMat-Bulk. Energies are from PBE.

Calculated values
Its symmetry is No. 82. The total magnetization comes out at 0.000 μB/f.u. The calculation puts the calculated total energy at -94.04 eV for the cell shown.

Unit cell a=7.725 b=7.725 c=7.725 alpha=109.37 beta=109.37 gamma=109.68
Fractional positions:
Nd  0.248  0.501  0.619
Nd  0.372  0.241  0.253
Nd  0.372  0.752  0.253
Nd  0.499  0.119  0.747
Nd  0.759  0.012  0.131
Nd  0.881  0.628  0.381
Nd  0.882  0.628  0.869
Nd  0.988  0.118  0.747
Cu  0.500  0.500  0.000
Ir  0.125  0.003  0.383
Ir  0.258  0.875  0.878
Ir  0.620  0.742  0.617
Ir  0.750  0.250  0.500
Ir  0.997  0.380  0.122

---

10.
Here is an optimized crystal structure of LiInIO2 from Alexandria via LeMat-Bulk. Energies are from PBE.

Calculated values
The value obtained for the formation energy without anion corrections is -67.2 kJ per mole of atoms. Its symmetry is No. 123. The total magnetization comes out at 0.000 μB/f.u. As for the energy relative to the lowest polymorph listed for this composition: 0.00 kcal/mol of atoms.

Unit cell a=4.117 b=4.117 c=6.529 alpha=90.00 beta=90.00 gamma=90.00
Fractional positions:
Li  0.000  0.000  0.000
In  0.500  0.500  0.500
I  0.500  0.500  0.000
O  0.000  0.500  0.500
O  0.500  0.000  0.500

---

11.
Here is an optimized crystal structure of LiMnBi3 from Alexandria via LeMat-Bulk. Energies are from PBE.

Calculated values
Its symmetry is No. 221. The total magnetization comes out at 0.000 μB/f.u. As for the energy relative to the lowest polymorph listed for this composition: 0.00 kcal/mol of atoms.

Unit cell a=5.193 b=5.193 c=5.193 alpha=90.00 beta=90.00 gamma=90.00
Fractional positions:
Li  0.000  0.000  0.000
Mn  0.500  0.500  0.500
Bi  0.000  0.500  0.500
Bi  0.500  0.000  0.500
Bi  0.500  0.500  0.000

---

12.
Here is an optimized crystal structure of Na5Pu3O12 from Alexandria via LeMat-Bulk. Energies are from PBE.

Calculated values
The value obtained for the formation energy without anion corrections is -180.0 kJ per mole of atoms. Its symmetry is No. 230. The total magnetization comes out at 5.000 μB/f.u. As for the energy relative to the lowest polymorph listed for this composition: 9.60 kcal/mol of atoms.

Unit cell a=11.665 b=11.665 c=11.665 alpha=109.47 beta=109.47 gamma=109.47
Fractional positions:
Na  0.000  0.000  0.000
Na  0.000  0.000  0.500
Na  0.000  0.500  0.000
Na  0.000  0.500  0.500
Na  0.125  0.750  0.875
Na  0.125  0.875  0.250
Na  0.250  0.125  0.875
Na  0.250  0.625  0.375
Na  0.375  0.250  0.625
Na  0.375  0.625  0.750
Na  0.500  0.000  0.000
Na  0.500  0.000  0.500
Na  0.500  0.500  0.000
Na  0.500  0.500  0.500
Na  0.625  0.375  0.250
Na  0.625  0.750  0.375
Na  0.750  0.375  0.625
Na  0.750  0.875  0.125
Na  0.875  0.125  0.750
Na  0.875  0.250  0.125
Pu  0.125  0.250  0.375
Pu  0.125  0.375  0.750
Pu  0.250  0.375  0.125
Pu  0.250  0.875  0.625
Pu  0.375  0.125  0.250
Pu  0.375  0.750  0.125
Pu  0.625  0.250  0.875
Pu  0.625  0.875  0.750
Pu  0.750  0.125  0.375
Pu  0.750  0.625  0.875
Pu  0.875  0.625  0.250
Pu  0.875  0.750  0.625
O  0.033  0.713  0.657
O  0.033  0.820  0.377
O  0.057  0.213  0.180
O  0.057  0.343  0.877
O  0.123  0.680  0.467
O  0.123  0.943  0.657
O  0.157  0.213  0.533
O  0.157  0.443  0.623
O  0.180  0.057  0.213
O  0.180  0.623  0.967
O  0.213  0.180  0.057
O  0.213  0.533  0.157
O  0.287  0.343  0.967
O  0.287  0.443  0.320
O  0.320  0.287  0.443
O  0.320  0.533  0.877
O  0.343  0.877  0.057
O  0.343  0.967  0.287
O  0.377  0.033  0.820
O  0.377  0.843  0.557
O  0.443  0.320  0.287
O  0.443  0.623  0.157
O  0.467  0.123  0.680
O  0.467  0.843  0.787
O  0.533  0.157  0.213
O  0.533  0.877  0.320
O  0.557  0.377  0.843
O  0.557  0.680  0.713
O  0.623  0.157  0.443
O  0.623  0.967  0.180
O  0.657  0.033  0.713
O  0.657  0.123  0.943
O  0.680  0.467  0.123
O  0.680  0.713  0.557
O  0.713  0.557  0.680
O  0.713  0.657  0.033
O  0.787  0.467  0.843
O  0.787  0.820  0.943
O  0.820  0.377  0.033
O  0.820  0.943  0.787
O  0.843  0.557  0.377
O  0.843  0.787  0.467
O  0.877  0.057  0.343
O  0.877  0.320  0.533
O  0.943  0.657  0.123
O  0.943  0.787  0.820
O  0.967  0.180  0.623
O  0.967  0.287  0.343

---

13.
Here is an optimized crystal structure of Y3TePd from Alexandria via LeMat-Bulk. Energies are from PBE.

Calculated values
The value obtained for the formation energy without anion corrections is -46.7 kJ per mole of atoms. Its symmetry is No. 221. The total magnetization comes out at 0.000 μB/f.u. As for the energy relative to the lowest polymorph listed for this composition: 5.96 kcal/mol of atoms.

Unit cell a=5.420 b=5.420 c=5.420 alpha=90.00 beta=90.00 gamma=90.00
Fractional positions:
Y  0.000  0.000  0.500
Y  0.000  0.500  0.000
Y  0.500  0.000  0.000
Te  0.500  0.500  0.500
Pd  0.000  0.000  0.000

---

14.
Here is an optimized crystal structure of Ba6NaPd from Alexandria via LeMat-Bulk. Energies are from PBE.

Calculated values
Its symmetry is No. 12. The total magnetization comes out at 0.000 μB/f.u. As for the energy relative to the lowest polymorph listed for this composition: 0.68 kcal/mol of atoms.

Unit cell a=7.903 b=7.903 c=7.836 alpha=99.48 beta=99.48 gamma=101.18
Fractional positions:
Ba  0.079  0.715  0.718
Ba  0.283  0.283  0.905
Ba  0.285  0.921  0.282
Ba  0.715  0.079  0.718
Ba  0.717  0.717  0.095
Ba  0.921  0.285  0.282
Na  0.500  0.500  0.500
Pd  0.000  0.000  0.000

---

15.
Here is an optimized crystal structure of Ba2Cd3Pb6 from Alexandria via LeMat-Bulk. Energies are from PBE.

Calculated values
Its symmetry is No. 189. The total magnetization comes out at 0.000 μB/f.u. The calculation puts the calculated total energy at -31.05 eV for the cell shown.

Unit cell a=8.944 b=8.944 c=5.484 alpha=90.00 beta=90.00 gamma=120.00
Fractional positions:
Ba  0.333  0.667  0.000
Ba  0.667  0.333  0.000
Cd  0.000  0.387  0.500
Cd  0.387  0.000  0.500
Cd  0.613  0.613  0.500
Pb  0.000  0.207  0.000
Pb  0.000  0.715  0.500
Pb  0.207  0.000  0.000
Pb  0.285  0.285  0.500
Pb  0.715  0.000  0.500
Pb  0.793  0.793  0.000

---

16.
Here is an optimized crystal structure of LaTb2Al2Hg2 from Alexandria via LeMat-Bulk. Energies are from PBE.

Calculated values
Its symmetry is No. 166. The total magnetization comes out at 0.000 μB/f.u. The calculation puts the calculated total energy at -24.41 eV for the cell shown.

Unit cell a=10.091 b=10.091 c=10.091 alpha=26.87 beta=26.87 gamma=26.87
Fractional positions:
La  0.000  0.000  0.000
Tb  0.129  0.129  0.129
Tb  0.871  0.871  0.871
Al  0.402  0.402  0.402
Al  0.598  0.598  0.598
Hg  0.252  0.252  0.252
Hg  0.748  0.748  0.748

---

17.
Here is an optimized crystal structure of SmYPt2 from Alexandria via LeMat-Bulk. Energies are from PBE.

Calculated values
Its symmetry is No. 38. The total magnetization comes out at 0.000 μB/f.u. As for the energy relative to the lowest polymorph listed for this composition: 0.00 kcal/mol of atoms.

Unit cell a=4.502 b=5.672 c=5.672 alpha=39.52 beta=90.00 gamma=90.00
Fractional positions:
Sm  0.000  0.000  0.000
Y  0.500  0.724  0.724
Pt  0.000  0.274  0.274
Pt  0.500  0.448  0.448

---

18.
Here is an optimized crystal structure of SrVAs2Ru from Alexandria via LeMat-Bulk. Energies are from PBE.

Calculated values
Its symmetry is No. 119. The total magnetization comes out at 0.307 μB/f.u. The calculation puts the calculated total energy at -32.55 eV for the cell shown.

Unit cell a=7.082 b=7.082 c=7.082 alpha=147.62 beta=147.62 gamma=46.45
Fractional positions:
Sr  0.000  0.000  0.000
V  0.750  0.250  0.500
As  0.367  0.367  0.000
As  0.633  0.633  0.000
Ru  0.250  0.750  0.500

---

19.
Here is an optimized crystal structure of CdSn2Hg2 from Alexandria via LeMat-Bulk. Energies are from PBE.

Calculated values
Its symmetry is No. 127. The total magnetization comes out at 0.000 μB/f.u. As for the energy relative to the lowest polymorph listed for this composition: 1.41 kcal/mol of atoms.

Unit cell a=7.720 b=7.720 c=4.438 alpha=90.00 beta=90.00 gamma=90.00
Fractional positions:
Cd  0.000  0.000  0.000
Cd  0.500  0.500  0.000
Sn  0.165  0.335  0.500
Sn  0.335  0.835  0.500
Sn  0.665  0.165  0.500
Sn  0.835  0.665  0.500
Hg  0.141  0.641  0.000
Hg  0.359  0.141  0.000
Hg  0.641  0.859  0.000
Hg  0.859  0.359  0.000

---

20.
Here is an optimized crystal structure of BaFeSn2Rh from Alexandria via LeMat-Bulk. Energies are from PBE.

Calculated values
Its symmetry is No. 123. The total magnetization comes out at 2.923 μB/f.u. The calculation puts the calculated total energy at -24.04 eV for the cell shown.

Unit cell a=5.111 b=5.111 c=5.904 alpha=90.00 beta=90.00 gamma=90.00
Fractional positions:
Ba  0.000  0.000  0.000
Fe  0.500  0.500  0.000
Sn  0.000  0.500  0.500
Sn  0.500  0.000  0.500
Rh  0.000  0.000  0.500

---

21.
Here is an optimized crystal structure of TbNiPb from Alexandria via LeMat-Bulk. Energies are from PBE.

Calculated values
Its symmetry is No. 11. The total magnetization comes out at 0.000 μB/f.u. The calculation puts the calculated total energy at -30.56 eV for the cell shown.

Unit cell a=4.521 b=4.519 c=6.719 alpha=90.00 beta=90.40 gamma=90.00
Fractional positions:
Tb  0.247  0.250  0.224
Tb  0.753  0.750  0.776
Ni  0.255  0.750  0.500
Ni  0.745  0.250  0.500
Pb  0.250  0.250  0.733
Pb  0.750  0.750  0.267

---

22.
Here is an optimized crystal structure of LaHoAlHg from Alexandria via LeMat-Bulk. Energies are from PBE.

Calculated values
Its symmetry is No. 216. The total magnetization comes out at 0.000 μB/f.u. The calculation puts the calculated total energy at -15.10 eV for the cell shown.

Unit cell a=5.346 b=5.346 c=5.346 alpha=60.00 beta=60.00 gamma=60.00
Fractional positions:
La  0.000  0.000  0.000
Ho  0.500  0.500  0.500
Al  0.250  0.250  0.250
Hg  0.750  0.750  0.750

---

23.
Here is an optimized crystal structure of ErReS2 from Alexandria via LeMat-Bulk. Energies are from PBE.

Calculated values
The value obtained for the formation energy without anion corrections is -20.5 kJ per mole of atoms. Its symmetry is No. 166. The total magnetization comes out at 0.000 μB/f.u.

Unit cell a=8.692 b=8.692 c=8.692 alpha=21.96 beta=21.96 gamma=21.96
Fractional positions:
Er  0.000  0.000  0.000
Re  0.500  0.500  0.500
S  0.107  0.107  0.107
S  0.893  0.893  0.893